Record 1
Here is a geometry-optimized NaGe3Ru structure from Alexandria via LeMat-Bulk. Energies are from PBE.

Unit cell a=4.844 b=4.844 c=4.844 alpha=90.00 beta=90.00 gamma=90.00
Sites, in units of the cell vectors:
Na  0.000  0.000  0.000
Ge  0.000  0.000  0.500
Ge  0.000  0.500  0.000
Ge  0.500  0.000  0.000
Ru  0.500  0.500  0.500

**Total magnetization**: 1.82 μB/f.u.
**Symmetry**: Pm-3m (221)
**Relative energy among the computed polymorphs**: 1.385 eV/atom

=====

Record 2
Here is a geometry-optimized BaCa2Cd2 structure from Alexandria via LeMat-Bulk. Energies are from PBE.

Unit cell a=9.485 b=9.485 c=3.671 alpha=90.00 beta=90.00 gamma=90.00
Sites, in units of the cell vectors:
Ba  0.000  0.000  0.000
Ba  0.500  0.500  0.000
Ca  0.130  0.370  0.000
Ca  0.370  0.870  0.000
Ca  0.630  0.130  0.000
Ca  0.870  0.630  0.000
Cd  0.165  0.665  0.500
Cd  0.335  0.165  0.500
Cd  0.665  0.835  0.500
Cd  0.835  0.335  0.500

**Total magnetization**: 0.00 μB/f.u.
**Symmetry**: P4/mbm (127)
**Relative energy among the computed polymorphs**: 0.000 eV/atom

=====

Record 3
Here is a geometry-optimized Eu3Th structure from Alexandria via LeMat-Bulk. Energies are from PBE.

Unit cell a=6.519 b=6.519 c=6.519 alpha=132.46 beta=132.46 gamma=69.51
Sites, in units of the cell vectors:
Eu  0.000  0.000  0.000
Eu  0.250  0.750  0.500
Eu  0.750  0.250  0.500
Th  0.500  0.500  0.000

**Total magnetization**: 7.54 μB/f.u.
**Symmetry**: I4/mmm (139)
**Relative energy among the computed polymorphs**: 0.062 eV/atom

=====

Record 4
Here is a geometry-optimized Th6P2RuC3 structure from Alexandria via LeMat-Bulk. Energies are from PBE.

Unit cell a=8.877 b=8.877 c=8.079 alpha=104.03 beta=104.03 gamma=25.32
Sites, in units of the cell vectors:
Th  0.006  0.006  0.238
Th  0.329  0.329  0.434
Th  0.338  0.338  0.899
Th  0.662  0.662  0.101
Th  0.671  0.671  0.566
Th  0.994  0.994  0.762
P  0.167  0.167  0.838
P  0.833  0.833  0.162
Ru  0.500  0.500  0.500
C  0.174  0.174  0.332
C  0.500  0.500  0.000
C  0.826  0.826  0.668

**Total magnetization**: 0.00 μB/f.u.
**Symmetry**: C2/m (12)

=====

For reference, energy relative to the elements by record: 1.588, -0.238, 0.249, -0.653 eV per atom.
For reference, E_tot by record: -3.30, -1.79, -9.31, -8.34 eV per atom.